{
  "formula": "Be5GaNi6",
  "functional": "PBE",
  "state": "optimized geometry",
  "lattice_angstrom": [[3.751, 0.000, 0.000], [0.000, 5.433, 0.000], [-1.857, 0.000, 5.637]],
  "species": ["Be", "Be", "Be", "Be", "Be", "Ga", "Ni", "Ni", "Ni", "Ni", "Ni", "Ni"],
  "frac_coords": [[0.000, 0.000, 0.000], [0.331, 0.500, 0.660], [0.335, 0.000, 0.668], [0.665, 0.000, 0.332], [0.669, 0.500, 0.340], [0.000, 0.500, 0.000], [0.171, 0.242, 0.343], [0.171, 0.758, 0.343], [0.500, 0.234, 0.000], [0.500, 0.766, 0.000], [0.829, 0.242, 0.657], [0.829, 0.758, 0.657]],
  "formation_enthalpy_0k_ev_per_fu": -5.02,
  "dos_at_fermi_per_ev_cell": 6.7,
  "rho_g_cm3": 6.7
}


{
  "formula": "RbLaTl3",
  "functional": "PBE",
  "state": "optimized geometry",
  "lattice_angstrom": [[5.949, 0.000, 0.000], [0.000, 5.949, 0.000], [0.000, 0.000, 5.949]],
  "species": ["Rb", "La", "Tl", "Tl", "Tl"],
  "frac_coords": [[0.000, 0.000, 0.000], [0.500, 0.500, 0.500], [0.000, 0.000, 0.500], [0.000, 0.500, 0.000], [0.500, 0.000, 0.000]],
  "formation_enthalpy_0k_ev_per_fu": 3.31,
  "dos_at_fermi_per_ev_cell": 6.4,
  "e_above_lowest_polymorph_ev_per_fu": 2.25,
  "rho_g_cm3": 6.6
}


{
  "formula": "BaGa4Pd4",
  "functional": "PBE",
  "state": "optimized geometry",
  "lattice_angstrom": [[-4.407, 4.407, 2.328], [4.407, -4.407, 2.328], [4.407, 4.407, -2.328]],
  "species": ["Ba", "Ga", "Ga", "Ga", "Ga", "Pd", "Pd", "Pd", "Pd"],
  "frac_coords": [[0.000, 0.000, 0.000], [0.213, 0.657, 0.870], [0.343, 0.213, 0.556], [0.657, 0.787, 0.444], [0.787, 0.343, 0.130], [0.120, 0.391, 0.511], [0.391, 0.880, 0.272], [0.609, 0.120, 0.728], [0.880, 0.609, 0.489]],
  "formation_enthalpy_0k_ev_per_fu": -5.66,
  "dos_at_fermi_per_ev_cell": 2.9,
  "rho_g_cm3": 7.7
}